[1]
Below is crystalline LiTlReTc at its relaxed geometry, with properties calculated at the PBE level.

Summary:
Calculated density, g/cm³: 13.18
Spin magnetization, μB per cell: 0.000
Electronic total energy, eV per cell: -25.42
SG: No. 216
ΔE to the lowest computed polymorph, meV per atom: 0

Geometry as POSCAR:
```
LiTlReTc
1.0
0.0000 3.1490 3.1490
3.1490 0.0000 3.1490
3.1490 3.1490 0.0000
Li Tl Re Tc
1 1 1 1
Direct
0.0000 0.0000 0.0000 Li
0.2500 0.2500 0.2500 Tl
0.7500 0.7500 0.7500 Re
0.5000 0.5000 0.5000 Tc
```

***

[2]
Below is crystalline ZrBi at its relaxed geometry, with properties calculated at the PBE level.

Summary:
Calculated density, g/cm³: 9.75
Spin magnetization, μB per cell: 0.003
Electronic total energy, eV per cell: -78.10
SG: No. 11

Geometry as POSCAR:
```
ZrBi
1.0
7.8136 0.0000 0.0000
0.0000 5.1828 0.0000
-2.0512 0.0000 7.5715
Zr Bi
6 6
Direct
0.0061 0.2500 0.3667 Zr
0.0313 0.7500 0.1245 Zr
0.3578 0.7500 0.9562 Zr
0.6422 0.2500 0.0438 Zr
0.9687 0.2500 0.8755 Zr
0.9939 0.7500 0.6333 Zr
0.2883 0.2500 0.7274 Bi
0.3027 0.2500 0.1725 Bi
0.3073 0.7500 0.4711 Bi
0.6927 0.2500 0.5289 Bi
0.6973 0.7500 0.8275 Bi
0.7117 0.7500 0.2726 Bi
```

***

[3]
Below is crystalline Ho4CdAs3 at its relaxed geometry, with properties calculated at the PBE level.

Summary:
Calculated density, g/cm³: 8.17
Spin magnetization, μB per cell: 0.019
Electronic total energy, eV per cell: -41.38
SG: No. 221

Geometry as POSCAR:
```
Ho4CdAs3
1.0
5.8735 0.0000 0.0000
0.0000 5.8735 0.0000
0.0000 0.0000 5.8735
Ho Cd As
4 1 3
Direct
0.0000 0.0000 0.0000 Ho
0.0000 0.5000 0.5000 Ho
0.5000 0.0000 0.5000 Ho
0.5000 0.5000 0.0000 Ho
0.5000 0.5000 0.5000 Cd
0.0000 0.0000 0.5000 As
0.0000 0.5000 0.0000 As
0.5000 0.0000 0.0000 As
```

***

[4]
Below is crystalline ZrScNO at its relaxed geometry, with properties calculated at the PBE level.

Summary:
Calculated density, g/cm³: 5.49
Spin magnetization, μB per cell: 0.001
Electronic total energy, eV per cell: -68.58
SG: No. 129
ΔE to the lowest computed polymorph, meV per atom: 638

Geometry as POSCAR:
```
ZrScNO
1.0
3.6291 0.0000 0.0000
0.0000 3.6291 0.0000
0.0000 0.0000 7.6276
Zr Sc N O
2 2 2 2
Direct
0.2500 0.2500 0.1536 Zr
0.7500 0.7500 0.8464 Zr
0.2500 0.7500 0.5000 Sc
0.7500 0.2500 0.5000 Sc
0.2500 0.2500 0.6806 N
0.7500 0.7500 0.3194 N
0.2500 0.7500 0.0000 O
0.7500 0.2500 0.0000 O
```

***

[5]
Below is crystalline LiLuPbS3 at its relaxed geometry, with properties calculated at the PBE level.

Summary:
Calculated density, g/cm³: 6.29
Spin magnetization, μB per cell: 0.006
Electronic total energy, eV per cell: -61.12
SG: No. 63
ΔE to the lowest computed polymorph, meV per atom: 44

Geometry as POSCAR:
```
LiLuPbS3
1.0
1.9699 -6.4474 0.0000
1.9699 6.4474 0.0000
0.0000 0.0000 10.0895
Li Lu Pb S
2 2 2 6
Direct
0.0301 0.9699 0.7500 Li
0.9699 0.0301 0.2500 Li
0.5000 0.5000 0.0000 Lu
0.5000 0.5000 0.5000 Lu
0.2455 0.7545 0.2500 Pb
0.7545 0.2455 0.7500 Pb
0.1344 0.8656 0.5598 S
0.1344 0.8656 0.9402 S
0.4264 0.5736 0.7500 S
0.5736 0.4264 0.2500 S
0.8656 0.1344 0.0598 S
0.8656 0.1344 0.4402 S
```

***

[6]
Below is crystalline HoB4Pb at its relaxed geometry, with properties calculated at the PBE level.

Summary:
Calculated density, g/cm³: 9.32
Spin magnetization, μB per cell: 0.001
Electronic total energy, eV per cell: -34.69
SG: No. 71
ΔE to the lowest computed polymorph, meV per atom: 9

Geometry as POSCAR:
```
HoB4Pb
1.0
-1.6126 2.6960 4.2577
1.6126 -2.6960 4.2577
1.6126 2.6960 -4.2577
Ho B Pb
1 4 1
Direct
0.0000 0.0000 0.0000 Ho
0.0701 0.7415 0.3286 B
0.4129 0.7415 0.6714 B
0.5871 0.2585 0.3286 B
0.9299 0.2585 0.6714 B
0.5000 0.5000 0.0000 Pb
```

***

> Among the records above, which one has the lowest calculated density?

ZrScNO

***

> Which formula does entry 5 have?

LiLuPbS3

***

Copy entry 3 word for word.
Below is crystalline Ho4CdAs3 at its relaxed geometry, with properties calculated at the PBE level.

Summary:
Calculated density, g/cm³: 8.17
Spin magnetization, μB per cell: 0.019
Electronic total energy, eV per cell: -41.38
SG: No. 221

Geometry as POSCAR:
```
Ho4CdAs3
1.0
5.8735 0.0000 0.0000
0.0000 5.8735 0.0000
0.0000 0.0000 5.8735
Ho Cd As
4 1 3
Direct
0.0000 0.0000 0.0000 Ho
0.0000 0.5000 0.5000 Ho
0.5000 0.0000 0.5000 Ho
0.5000 0.5000 0.0000 Ho
0.5000 0.5000 0.5000 Cd
0.0000 0.0000 0.5000 As
0.0000 0.5000 0.0000 As
0.5000 0.0000 0.0000 As
```

***

> Which of these has the highest calculated density?

LiTlReTc